i) Below is an optimized crystal structure of Tb3Tm2In2, with properties calculated at the PBE level.

- DOS(E_F) (states/eV per atom) = 1.27

The structure in CIF format:
```
data_Tb3Tm2In2
_cell_length_a 16.6578
_cell_length_b 3.4567
_cell_length_c 7.9006
_cell_angle_alpha 90.00
_cell_angle_beta 117.80
_cell_angle_gamma 90.00
_space_group_name_H-M_alt 'C 1 2/m 1'
_space_group_IT_number 12
loop_
_space_group_symop_operation_xyz
'x,y,z'
'-x,-y,-z'
'-x,y,-z'
'x,-y,z'
'x+1/2,y+1/2,z'
'-x+1/2,-y+1/2,-z'
'-x+1/2,y+1/2,-z'
'x+1/2,-y+1/2,z'
loop_
_atom_site_label
_atom_site_type_symbol
_atom_site_fract_x
_atom_site_fract_y
_atom_site_fract_z
Tb1 Tb 0.0000 0.0000 0.0000
Tb2 Tb 0.2107 0.0000 0.1269
Tm1 Tm 0.1367 0.0000 0.4699
In1 In 0.0656 0.5000 0.7301
```


ii) Below is an optimized crystal structure of Tb3Tm2In2, with properties calculated at the PBE level.

- DOS(E_F) (states/eV per atom) = 0.98

The structure in CIF format:
```
data_Tb3Tm2In2
_cell_length_a 4.9652
_cell_length_b 23.2910
_cell_length_c 3.4531
_cell_angle_alpha 90.00
_cell_angle_beta 90.00
_cell_angle_gamma 90.00
_space_group_name_H-M_alt 'C m m m'
_space_group_IT_number 65
_space_group_name_Hall '-C 2 2'
loop_
_atom_site_label
_atom_site_type_symbol
_atom_site_fract_x
_atom_site_fract_y
_atom_site_fract_z
Tb1 Tb 0.0000 0.0000 0.0000
Tb2 Tb 0.0000 0.1451 0.0000
Tm1 Tm 0.0000 0.2862 0.5000
In1 In 0.0000 0.4286 0.5000
```


Least stable: i)


i) Below is an optimized crystal structure of Tb8Tm3In2, with properties calculated at the PBE level.

- DOS(E_F) (states/eV per atom) = 1.15

The structure in CIF format:
```
data_Tb8Tm3In2
_cell_length_a 8.1910
_cell_length_b 5.5295
_cell_length_c 10.0311
_cell_angle_alpha 90.00
_cell_angle_beta 114.07
_cell_angle_gamma 90.00
_space_group_name_H-M_alt 'P 1 2/m 1'
_space_group_IT_number 10
loop_
_space_group_symop_operation_xyz
'x,y,z'
'-x,-y,-z'
'-x,y,-z'
'x,-y,z'
loop_
_atom_site_label
_atom_site_type_symbol
_atom_site_fract_x
_atom_site_fract_y
_atom_site_fract_z
Tb1 Tb 0.0896 0.0000 0.2677
Tb2 Tb 0.1768 0.5000 0.8539
Tb3 Tb 0.3218 0.0000 0.7321
Tb4 Tb 0.3716 0.5000 0.2428
Tm1 Tm 0.2030 0.5000 0.5000
Tm2 Tm 0.5000 0.0000 0.5000
In1 In 0.2688 0.0000 0.0365
```


ii) Below is an optimized crystal structure of Tb8Tm3In2, with properties calculated at the PBE level.

- DOS(E_F) (states/eV per atom) = 1.55

The structure in CIF format:
```
data_Tb8Tm3In2
_cell_length_a 6.2649
_cell_length_b 7.1265
_cell_length_c 9.5101
_cell_angle_alpha 90.47
_cell_angle_beta 90.47
_cell_angle_gamma 108.52
_space_group_name_H-M_alt 'P -1'
_space_group_IT_number 2
loop_
_space_group_symop_operation_xyz
'x,y,z'
'-x,-y,-z'
loop_
_atom_site_label
_atom_site_type_symbol
_atom_site_fract_x
_atom_site_fract_y
_atom_site_fract_z
Tb1 Tb 0.0378 0.3753 0.3538
Tb2 Tb 0.0511 0.8693 0.3180
Tb3 Tb 0.3888 0.9655 0.8232
Tb4 Tb 0.4388 0.4748 0.8061
Tm1 Tm 0.0000 0.5000 0.0000
Tm2 Tm 0.4895 0.2429 0.5032
In1 In 0.1827 0.1605 0.0616
```


Least stable: i)


i) Below is an optimized crystal structure of Tb4Tm7In, with properties calculated at the PBE level.

- DOS(E_F) (states/eV per atom) = 1.75

The structure in CIF format:
```
data_Tb4Tm7In
_cell_length_a 12.0123
_cell_length_b 5.7754
_cell_length_c 12.1952
_cell_angle_alpha 90.00
_cell_angle_beta 114.59
_cell_angle_gamma 90.00
_space_group_name_H-M_alt 'C 1 2/m 1'
_space_group_IT_number 12
loop_
_space_group_symop_operation_xyz
'x,y,z'
'-x,-y,-z'
'-x,y,-z'
'x,-y,z'
'x+1/2,y+1/2,z'
'-x+1/2,-y+1/2,-z'
'-x+1/2,y+1/2,-z'
'x+1/2,-y+1/2,z'
loop_
_atom_site_label
_atom_site_type_symbol
_atom_site_fract_x
_atom_site_fract_y
_atom_site_fract_z
Tb1 Tb 0.1246 0.0000 0.2695
Tb2 Tb 0.1527 0.5000 0.1238
Tm1 Tm 0.0000 0.0000 0.5000
Tm2 Tm 0.0984 0.5000 0.7800
Tm3 Tm 0.1308 0.0000 0.9775
Tm4 Tm 0.2012 0.5000 0.4201
In1 In 0.0000 0.5000 0.5000
```


ii) Below is an optimized crystal structure of Tb4Tm7In, with properties calculated at the PBE level.

- DOS(E_F) (states/eV per atom) = 1.52

The structure in CIF format:
```
data_Tb4Tm7In
_cell_length_a 11.8375
_cell_length_b 5.6017
_cell_length_c 11.8020
_cell_angle_alpha 90.00
_cell_angle_beta 100.88
_cell_angle_gamma 90.00
_space_group_name_H-M_alt 'C 1 2/m 1'
_space_group_IT_number 12
loop_
_space_group_symop_operation_xyz
'x,y,z'
'-x,-y,-z'
'-x,y,-z'
'x,-y,z'
'x+1/2,y+1/2,z'
'-x+1/2,-y+1/2,-z'
'-x+1/2,y+1/2,-z'
'x+1/2,-y+1/2,z'
loop_
_atom_site_label
_atom_site_type_symbol
_atom_site_fract_x
_atom_site_fract_y
_atom_site_fract_z
Tb1 Tb 0.0773 0.0000 0.2682
Tb2 Tb 0.1404 0.5000 0.7825
Tm1 Tm 0.0000 0.5000 0.5000
Tm2 Tm 0.1098 0.5000 0.1085
Tm3 Tm 0.1377 0.0000 0.9713
Tm4 Tm 0.2492 0.5000 0.3895
In1 In 0.0000 0.0000 0.5000
```


Least stable: i)


i) Below is an optimized crystal structure of Tb2Tm3In4, with properties calculated at the PBE level.

- DOS(E_F) (states/eV per atom) = 0.89

The structure in CIF format:
```
data_Tb2Tm3In4
_cell_length_a 9.0577
_cell_length_b 5.2358
_cell_length_c 10.2259
_cell_angle_alpha 90.00
_cell_angle_beta 90.10
_cell_angle_gamma 90.00
_space_group_name_H-M_alt 'C 1 2/m 1'
_space_group_IT_number 12
loop_
_space_group_symop_operation_xyz
'x,y,z'
'-x,-y,-z'
'-x,y,-z'
'x,-y,z'
'x+1/2,y+1/2,z'
'-x+1/2,-y+1/2,-z'
'-x+1/2,y+1/2,-z'
'x+1/2,-y+1/2,z'
loop_
_atom_site_label
_atom_site_type_symbol
_atom_site_fract_x
_atom_site_fract_y
_atom_site_fract_z
Tb1 Tb 0.1670 0.0000 0.2763
Tm1 Tm 0.0000 0.5000 0.5000
Tm2 Tm 0.1664 0.0000 0.9270
In1 In 0.0003 0.5000 0.1545
In2 In 0.1664 0.0000 0.6014
```


ii) Below is an optimized crystal structure of Tb2Tm3In4, with properties calculated at the PBE level.

- DOS(E_F) (states/eV per atom) = 0.73

The structure in CIF format:
```
data_Tb2Tm3In4
_cell_length_a 6.9718
_cell_length_b 16.2310
_cell_length_c 9.1042
_cell_angle_alpha 90.00
_cell_angle_beta 90.00
_cell_angle_gamma 90.00
_space_group_name_H-M_alt 'C m c e'
_space_group_IT_number 64
_space_group_name_Hall '-C 2ac 2'
loop_
_atom_site_label
_atom_site_type_symbol
_atom_site_fract_x
_atom_site_fract_y
_atom_site_fract_z
Tb1 Tb 0.0000 0.1110 0.0732
Tm1 Tm 0.0000 0.0000 0.5000
Tm2 Tm 0.2500 0.2138 0.7500
In1 In 0.0000 0.1867 0.4596
In2 In 0.2500 0.0273 0.7500
```


Least stable: ii)


i) Below is an optimized crystal structure of Tb2Tm2In, with properties calculated at the PBE level.

- DOS(E_F) (states/eV per atom) = 1.10

The structure in CIF format:
```
data_Tb2Tm2In
_cell_length_a 8.1890
_cell_length_b 8.1890
_cell_length_c 4.5446
_cell_angle_alpha 90.00
_cell_angle_beta 90.00
_cell_angle_gamma 90.00
_space_group_name_H-M_alt 'P 4/m b m'
_space_group_IT_number 127
_space_group_name_Hall '-P 4 2ab'
loop_
_atom_site_label
_atom_site_type_symbol
_atom_site_fract_x
_atom_site_fract_y
_atom_site_fract_z
Tb1 Tb 0.1482 0.3518 0.0000
Tm1 Tm 0.1515 0.6515 0.5000
In1 In 0.0000 0.0000 0.0000
```


ii) Below is an optimized crystal structure of Tb2Tm2In, with properties calculated at the PBE level.

- DOS(E_F) (states/eV per atom) = 1.61

The structure in CIF format:
```
data_Tb2Tm2In
_cell_length_a 4.3100
_cell_length_b 4.3100
_cell_length_c 17.2022
_cell_angle_alpha 90.00
_cell_angle_beta 90.00
_cell_angle_gamma 90.00
_space_group_name_H-M_alt 'I 4/m m m'
_space_group_IT_number 139
_space_group_name_Hall '-I 4 2'
loop_
_atom_site_label
_atom_site_type_symbol
_atom_site_fract_x
_atom_site_fract_y
_atom_site_fract_z
Tb1 Tb 0.0000 0.5000 0.2500
Tm1 Tm 0.0000 0.0000 0.0897
In1 In 0.0000 0.0000 0.5000
```


Least stable: ii)


i) Below is an optimized crystal structure of Tb3TmIn3, with properties calculated at the PBE level.

- DOS(E_F) (states/eV per atom) = 1.25

The structure in CIF format:
```
data_Tb3TmIn3
_cell_length_a 9.3131
_cell_length_b 9.3131
_cell_length_c 9.3131
_cell_angle_alpha 90.00
_cell_angle_beta 90.00
_cell_angle_gamma 90.00
_space_group_name_H-M_alt 'P 21 3'
_space_group_IT_number 198
_space_group_name_Hall 'P 2ac 2ab 3'
loop_
_atom_site_label
_atom_site_type_symbol
_atom_site_fract_x
_atom_site_fract_y
_atom_site_fract_z
Tb1 Tb 0.0699 0.4301 0.5699
Tb2 Tb 0.1734 0.8266 0.3266
Tb3 Tb 0.1756 0.1756 0.1756
Tm1 Tm 0.0786 0.5786 0.9214
In1 In 0.0023 0.2556 0.8721
```


ii) Below is an optimized crystal structure of Tb3TmIn3, with properties calculated at the PBE level.

- DOS(E_F) (states/eV per atom) = 1.03

The structure in CIF format:
```
data_Tb3TmIn3
_cell_length_a 9.0515
_cell_length_b 9.0515
_cell_length_c 5.5178
_cell_angle_alpha 90.00
_cell_angle_beta 90.00
_cell_angle_gamma 120.00
_space_group_name_H-M_alt 'P 63/m'
_space_group_IT_number 176
_space_group_name_Hall '-P 6c'
loop_
_atom_site_label
_atom_site_type_symbol
_atom_site_fract_x
_atom_site_fract_y
_atom_site_fract_z
Tb1 Tb 0.0951 0.6408 0.2500
Tm1 Tm 0.3333 0.6667 0.7500
In1 In 0.0489 0.8151 0.7500
```


Least stable: ii)


i) Below is an optimized crystal structure of Tb6TmIn2, with properties calculated at the PBE level.

- DOS(E_F) (states/eV per atom) = 1.28

The structure in CIF format:
```
data_Tb6TmIn2
_cell_length_a 10.9809
_cell_length_b 4.7684
_cell_length_c 10.4561
_cell_angle_alpha 90.00
_cell_angle_beta 108.71
_cell_angle_gamma 90.00
_space_group_name_H-M_alt 'C 1 2/m 1'
_space_group_IT_number 12
loop_
_space_group_symop_operation_xyz
'x,y,z'
'-x,-y,-z'
'-x,y,-z'
'x,-y,z'
'x+1/2,y+1/2,z'
'-x+1/2,-y+1/2,-z'
'-x+1/2,y+1/2,-z'
'x+1/2,-y+1/2,z'
loop_
_atom_site_label
_atom_site_type_symbol
_atom_site_fract_x
_atom_site_fract_y
_atom_site_fract_z
Tb1 Tb 0.0074 0.0000 0.1740
Tb2 Tb 0.1712 0.5000 0.0537
Tb3 Tb 0.1708 0.5000 0.3907
Tm1 Tm 0.0000 0.0000 0.5000
In1 In 0.1592 0.5000 0.7156
```


ii) Below is an optimized crystal structure of Tb6TmIn2, with properties calculated at the PBE level.

- DOS(E_F) (states/eV per atom) = 1.46

The structure in CIF format:
```
data_Tb6TmIn2
_cell_length_a 6.2636
_cell_length_b 6.2636
_cell_length_c 15.2617
_cell_angle_alpha 90.00
_cell_angle_beta 90.00
_cell_angle_gamma 90.00
_space_group_name_H-M_alt 'I -4 2 m'
_space_group_IT_number 121
_space_group_name_Hall 'I -4 2'
loop_
_atom_site_label
_atom_site_type_symbol
_atom_site_fract_x
_atom_site_fract_y
_atom_site_fract_z
Tb1 Tb 0.0000 0.5000 0.2500
Tb2 Tb 0.1780 0.1780 0.0876
Tm1 Tm 0.0000 0.0000 0.5000
In1 In 0.0000 0.0000 0.2894
```


Least stable: ii)


i) Below is an optimized crystal structure of Tb2Tm3In, with properties calculated at the PBE level.

- DOS(E_F) (states/eV per atom) = 1.06

The structure in CIF format:
```
data_Tb2Tm3In
_cell_length_a 4.8165
_cell_length_b 14.9384
_cell_length_c 4.8510
_cell_angle_alpha 90.00
_cell_angle_beta 90.00
_cell_angle_gamma 90.00
_space_group_name_H-M_alt 'C m m m'
_space_group_IT_number 65
_space_group_name_Hall '-C 2 2'
loop_
_atom_site_label
_atom_site_type_symbol
_atom_site_fract_x
_atom_site_fract_y
_atom_site_fract_z
Tb1 Tb 0.0000 0.1616 0.0000
Tm1 Tm 0.0000 0.0000 0.5000
Tm2 Tm 0.0000 0.3325 0.5000
In1 In 0.0000 0.5000 0.0000
```


ii) Below is an optimized crystal structure of Tb2Tm3In, with properties calculated at the PBE level.

- DOS(E_F) (states/eV per atom) = 1.13

The structure in CIF format:
```
data_Tb2Tm3In
_cell_length_a 15.3694
_cell_length_b 9.3854
_cell_length_c 5.3747
_cell_angle_alpha 90.00
_cell_angle_beta 90.00
_cell_angle_gamma 90.00
_space_group_name_H-M_alt 'C m c m'
_space_group_IT_number 63
_space_group_name_Hall '-C 2c 2'
loop_
_atom_site_label
_atom_site_type_symbol
_atom_site_fract_x
_atom_site_fract_y
_atom_site_fract_z
Tb1 Tb 0.1022 0.1125 0.2500
Tm1 Tm 0.0000 0.4194 0.2500
Tm2 Tm 0.2444 0.3785 0.2500
In1 In 0.0000 0.2294 0.7500
```


Least stable: ii)